No. 1
# ScTl2Ir

A relaxed structure of ScTl2Ir (PBE, Alexandria via LeMat-Bulk).

Properties
SG: No. 12

```
ScTl2Ir
1.0
5.114 -0.017 0.003
3.855 3.359 0.003
1.248 0.465 4.886
Ir Sc Tl
1 1 2
Cartesian
7.662 2.855 3.668
2.554 0.952 1.223
5.022 1.871 2.530
1.334 0.497 4.801
```



No. 2
# Y6Ho2Sc

A relaxed structure of Y6Ho2Sc (PBE, Alexandria via LeMat-Bulk).

Properties
SG: No. 12
Relative energy among the computed polymorphs in eV/f.u.: 0.345

```
Y6Ho2Sc
1.0
3.477 0.000 0.000
1.738 8.443 0.042
1.738 1.589 9.721
Ho Y Sc
2 6 1
Cartesian
5.215 9.387 6.711
1.738 0.645 3.052
1.738 5.903 2.448
3.477 3.046 1.060
3.477 6.986 8.703
3.477 6.575 5.443
5.215 4.130 7.315
3.477 3.457 4.320
0.000 0.000 0.000
```



No. 3
# Al2SnPb2

A relaxed structure of Al2SnPb2 (PBE, Alexandria via LeMat-Bulk).

Properties
SG: No. 127
Relative energy among the computed polymorphs in eV/f.u.: 0.131

```
Al2SnPb2
1.0
8.386 0.000 0.000
0.000 8.386 0.000
0.000 0.000 3.668
Pb Al Sn
4 4 2
Cartesian
2.664 1.529 1.834
1.529 5.722 1.834
6.857 2.664 1.834
5.722 6.857 1.834
5.169 0.976 0.000
7.410 5.169 0.000
0.976 3.217 0.000
3.217 7.410 0.000
0.000 0.000 0.000
4.193 4.193 0.000
```



| no. | E (eV for the cell shown) | ΔH_f (0 K) (eV per atom) |
| --- | --- | --- |
| 1 | -19.89 | 0.0099 |
| 2 | -53.18 | 0.1214 |
| 3 | -35.51 | 0.2304 |